No. 1
Material: SnPd3Se
Method: DFT, PBEsol
State: optimized geometry

```
SnPd3Se
1.0
4.8415 0.0000 0.0000
0.0000 4.8415 0.0000
0.0000 0.0000 4.8415
Sn Pd Se
1 3 1
direct
0.0000 0.0000 0.0000
0.0000 0.0000 0.5000
0.0000 0.5000 0.0000
0.5000 0.0000 0.0000
0.5000 0.5000 0.5000
```

Results
Raw total energy = -4.533 eV per atom
ΔE_f (raw) = 664 meV/atom
Magnetic moment = 0.0 μB/f.u.
Crystal system = cubic
Fermi-level density of states = 1.87 states/eV/cell

No. 2
Material: SrPdSe2
Method: DFT, PBEsol
State: optimized geometry

```
SrPdSe2
1.0
-2.7390 2.7390 7.4708
2.7390 -2.7390 7.4708
2.7390 2.7390 -7.4708
Sr Pd Se
2 2 4
direct
0.0000 0.0000 0.0000
0.7500 0.2500 0.5000
0.2500 0.7500 0.5000
0.5000 0.5000 0.0000
0.2219 0.6250 0.0969
0.3750 0.4719 0.5969
0.5281 0.1250 0.9031
0.8750 0.7781 0.4031
```

Results
Raw total energy = -4.680 eV per atom
ΔE_f (raw) = -805 meV/atom
Magnetic moment = 0.0 μB/f.u.
Crystal system = tetragonal
Fermi-level density of states = 2.48 states/eV/cell

No. 3
Material: Sr2Pd2Se
Method: DFT, PBEsol
State: optimized geometry

```
Sr2Pd2Se
1.0
-1.9025 1.9025 8.3210
1.9025 -1.9025 8.3210
1.9025 1.9025 -8.3210
Sr Pd Se
2 2 1
direct
0.1066 0.1066 0.0000
0.8934 0.8934 0.0000
0.2500 0.7500 0.5000
0.7500 0.2500 0.5000
0.5000 0.5000 0.0000
```

Results
Raw total energy = -4.820 eV per atom
ΔE_f (raw) = -931 meV/atom
Magnetic moment = 0.0 μB/f.u.
Crystal system = tetragonal
Fermi-level density of states = 1.31 states/eV/cell

No. 4
Material: SrPd2Se2
Method: DFT, PBEsol
State: optimized geometry

```
SrPd2Se2
1.0
-2.4349 2.4349 4.4530
2.4349 -2.4349 4.4530
2.4349 2.4349 -4.4530
Sr Pd Se
1 2 2
direct
0.0000 0.0000 0.0000
0.3405 0.3405 0.0000
0.6595 0.6595 0.0000
0.2500 0.7500 0.5000
0.7500 0.2500 0.5000
```

Results
Raw total energy = -5.092 eV per atom
ΔE_f (raw) = -800 meV/atom
Magnetic moment = 0.0 μB/f.u.
Crystal system = tetragonal
Fermi-level density of states = 2.19 states/eV/cell